(1)
This record from Alexandria describes a relaxed structure of TbPr3Sm2Tm6. The functional is GGA-PBE.

abc: 6.208 10.750 11.720
angles: 90.00 100.14 90.00
Space group C2/m (No. 12)
Asymmetric unit:
Tb1 0.000 0.000 0.000 x2
Pr1 0.000 0.167 0.500 x4
Pr2 0.000 0.500 0.500 x2
Sm1 0.000 0.333 0.000 x4
Tm1 0.249 0.167 0.247 x8
Tm2 0.250 0.000 0.753 x4

Computed properties:
Magnetic moment (Bohr magnetons per cell): 0.0
V (Å³/cell): 770
E_form (eV/atom): 0.019



(2)
This record from Alexandria describes a relaxed structure of Tb2Pr6Sm3Tm. The functional is GGA-PBE.

abc: 6.339 10.982 11.996
angles: 90.00 100.12 90.00
Space group C2/m (No. 12)
Asymmetric unit:
Tb1 0.000 0.167 0.000 x4
Pr1 0.249 0.334 0.247 x8
Pr2 0.250 0.000 0.248 x4
Sm1 0.000 0.000 0.500 x2
Sm2 0.000 0.333 0.500 x4
Tm1 0.000 0.500 0.000 x2

Computed properties:
Magnetic moment (Bohr magnetons per cell): 0.0
V (Å³/cell): 822
E_form (eV/atom): 0.012



(3)
This record from Alexandria describes a relaxed structure of Tb3Pr6Sm2Tm. The functional is GGA-PBE.

abc: 6.328 10.967 11.972
angles: 90.00 100.17 90.00
Space group C2/m (No. 12)
Asymmetric unit:
Tb1 0.000 0.000 0.000 x2
Tb2 0.000 0.334 0.000 x4
Pr1 0.249 0.500 0.249 x4
Pr2 0.250 0.166 0.249 x8
Sm1 0.000 0.167 0.500 x4
Tm1 0.000 0.500 0.500 x2

Computed properties:
Magnetic moment (Bohr magnetons per cell): 0.0
V (Å³/cell): 818
E_form (eV/atom): 0.012



(4)
This record from Alexandria describes a relaxed structure of Tb2PrSmTm5. The functional is GGA-PBE.

abc: 8.804 8.804 14.869
angles: 90.00 90.00 90.00
Space group I4/mcm (No. 140)
Asymmetric unit:
Tb1 0.115 0.385 0.000 x8
Pr1 0.000 0.000 0.250 x4
Sm1 0.000 0.500 0.250 x4
Tm1 0.000 0.000 0.000 x4
Tm2 0.206 0.294 0.367 x16

Computed properties:
Magnetic moment (Bohr magnetons per cell): 0.0
V (Å³/cell): 1153
E_form (eV/atom): 0.273